1.
Density functional theory data (GGA-PBEsol) for a geometry-optimized Na2HgAu2 structure.

Cell lengths 7.269, 7.269, 4.157 Å; angles 90.00, 90.00, 90.00 degrees
Element x y z (fractional)
Na 0.167 0.333 0.000
Na 0.333 0.833 0.000
Na 0.667 0.167 0.000
Na 0.833 0.667 0.000
Hg 0.000 0.000 0.500
Hg 0.500 0.500 0.500
Au 0.133 0.633 0.500
Au 0.367 0.133 0.500
Au 0.633 0.867 0.500
Au 0.867 0.367 0.500

DFT formation energy	-0.2052	eV per atom


2.
Density functional theory data (GGA-PBEsol) for a geometry-optimized Na2HgAu2 structure.

Cell lengths 8.807, 8.807, 8.807 Å; angles 155.31, 155.31, 35.20 degrees
Element x y z (fractional)
Na 0.110 0.110 0.000
Na 0.890 0.890 0.000
Hg 0.500 0.500 0.000
Au 0.250 0.750 0.500
Au 0.750 0.250 0.500

DFT formation energy	-0.1449	eV per atom


3.
Density functional theory data (GGA-PBEsol) for a geometry-optimized NaHgSbAu2 structure.

Cell lengths 5.115, 5.115, 5.899 Å; angles 90.00, 90.00, 90.00 degrees
Element x y z (fractional)
Na 0.000 0.000 0.000
Hg 0.500 0.500 0.000
Sb 0.000 0.000 0.500
Au 0.000 0.500 0.500
Au 0.500 0.000 0.500

E_form (uncorrected)	0.19	eV per atom


4.
Density functional theory data (GGA-PBEsol) for a geometry-optimized NdHgAu2 structure.

Cell lengths 4.946, 4.946, 4.946 Å; angles 60.00, 60.00, 60.00 degrees
Element x y z (fractional)
Nd 0.000 0.000 0.000
Hg 0.500 0.500 0.500
Au 0.250 0.250 0.250
Au 0.750 0.750 0.750

DFT formation energy	-0.5962	eV per atom


5.
Density functional theory data (GGA-PBEsol) for a geometry-optimized NiHgAu2 structure.

Cell lengths 3.014, 3.014, 7.112 Å; angles 90.00, 90.00, 90.00 degrees
Element x y z (fractional)
Ni 0.000 0.000 0.000
Hg 0.000 0.000 0.500
Au 0.500 0.500 0.213
Au 0.500 0.500 0.787

DFT formation energy	0.0719	eV per atom


6.
Density functional theory data (GGA-PBEsol) for a geometry-optimized NiHg3Au structure.

Cell lengths 5.188, 5.188, 5.188 Å; angles 90.00, 90.00, 90.00 degrees
Element x y z (fractional)
Ni 0.000 0.000 0.000
Hg 0.000 0.500 0.500
Hg 0.500 0.000 0.500
Hg 0.500 0.500 0.000
Au 0.500 0.500 0.500

DFT formation energy	0.8922	eV per atom